(1)
VASP calculation (PBE) on a relaxed structure of YZr2Be2.

```
YZr2Be2
1.0
-2.9347 6.9896 -1.3290
-0.6119 -1.6802 -7.4857
-2.9728 -1.1528 0.5018
Y Be Zr
2 4 4
direct
0.0000 0.0000 0.0000
0.5000 0.5000 0.0000
0.3527 0.8527 0.0000
0.8527 0.6473 0.0000
0.6473 0.1473 0.0000
0.1473 0.3527 0.0000
0.1535 0.6535 0.5000
0.6535 0.8465 0.5000
0.8465 0.3465 0.5000
0.3465 0.1535 0.5000
```

energy relative to the lowest polymorph listed for this composition	0.0	kJ per mole of atoms
symmetry	P4/mbm, No. 127
electronic total energy	-6.120	eV/atom
E_form	0.08	eV per atom
crystal system	tetragonal


(2)
VASP calculation (PBE) on a relaxed structure of Nb3BP.

```
Nb3BP
1.0
-0.9874 3.0779 -0.4637
-4.8399 -1.5701 -0.1159
1.1635 -0.0119 8.9425
Nb B P
6 2 2
direct
0.0011 0.2452 0.0021
0.9989 0.7548 0.9979
0.3627 0.9310 0.7255
0.6373 0.0690 0.2745
0.1941 0.6010 0.3882
0.8059 0.3990 0.6118
0.7619 0.9233 0.5239
0.2381 0.0767 0.4761
0.5864 0.5464 0.1729
0.4136 0.4536 0.8271
```

energy relative to the lowest polymorph listed for this composition	0.0	kJ per mole of atoms
symmetry	C2/m, No. 12
electronic total energy	-9.079	eV/atom
E_form	-0.62	eV per atom
crystal system	monoclinic


(3)
VASP calculation (PBE) on a relaxed structure of KCrSe2.

```
KCrSe2
1.0
4.4633 0.0026 -0.0146
-3.0729 7.7875 0.0604
2.3336 -4.4450 6.3292
Cr K Se
2 2 4
direct
0.6066 0.3746 0.1993
0.9642 0.2317 0.0476
0.4146 0.0017 0.4448
0.1558 0.6052 0.8026
0.4497 0.4549 0.0042
0.8950 0.6406 0.4920
0.6755 0.9660 0.7550
0.1209 0.1516 0.2429
```

symmetry	P-1, No. 2
electronic total energy	-5.009	eV/atom
energy relative to the elements, uncorrected	-586	meV/atom
crystal system	triclinic


(4)
VASP calculation (PBE) on a relaxed structure of Tb4Ni3Ag.

```
Tb4Ni3Ag
1.0
3.7354 0.0000 0.0000
0.0000 4.4758 0.0000
0.0000 0.0000 10.2649
Ni Tb Ag
3 4 1
direct
0.0000 0.5000 0.5746
0.0000 0.0000 0.4283
0.5000 0.0000 0.9191
0.5000 0.5000 0.3749
0.0000 0.5000 0.8462
0.0000 0.0000 0.1449
0.5000 0.0000 0.6375
0.5000 0.5000 0.0746
```

symmetry	Pmm2, No. 25
electronic total energy	-5.211	eV/atom
E_form	-0.37	eV per atom
crystal system	orthorhombic


(5)
VASP calculation (PBE) on a relaxed structure of LaIr3.

```
LaIr3
1.0
2.9005 0.0034 0.0000
-0.0035 2.9005 0.0000
0.0000 0.0000 8.4328
Ir La
3 1
direct
0.0000 0.0000 0.9600
0.0000 0.0000 0.5400
0.5000 0.5000 0.7500
0.5000 0.5000 0.2500
```

symmetry	P4/mmm, No. 123
electronic total energy	-7.806	eV/atom
E_form	0.07	eV per atom
crystal system	tetragonal


(6)
VASP calculation (PBE) on a relaxed structure of Nd4InHgN.

```
Nd4InHgN
1.0
7.1526 0.0000 0.0000
0.0000 7.1529 0.0000
-3.5763 0.0000 7.7118
Nd In Hg N
8 2 2 2
direct
0.9193 0.2500 0.8385
0.4133 0.7500 0.8267
0.0807 0.7500 0.1615
0.5867 0.2500 0.1733
0.5000 0.5000 0.5000
0.0000 0.0000 0.5000
0.5000 0.0000 0.5000
0.0000 0.5000 0.5000
0.6189 0.7500 0.2377
0.3811 0.2500 0.7623
0.1199 0.2500 0.2398
0.8801 0.7500 0.7602
0.2503 0.7500 0.5005
0.7497 0.2500 0.4995
```

symmetry	Cmcm, No. 63
electronic total energy	-4.982	eV/atom
energy relative to the elements, uncorrected	-634	meV/atom
crystal system	orthorhombic


(7)
VASP calculation (PBE) on a relaxed structure of RbMgGe.

```
RbMgGe
1.0
5.7250 0.0000 0.0000
0.0000 4.6707 0.0000
0.0000 -2.3354 4.0450
Ge Mg Rb
1 1 1
direct
0.1667 0.0000 0.0000
0.1668 0.3333 0.6667
0.6665 0.6667 0.3333
```

energy relative to the lowest polymorph listed for this composition	19.8	kJ per mole of atoms
symmetry	P-6m2, No. 187
electronic total energy	-2.338	eV/atom
E_form	0.05	eV per atom
crystal system	hexagonal


(8)
VASP calculation (PBE) on a relaxed structure of CoIr2Au.

```
CoIr2Au
1.0
4.7919 -0.0016 0.0000
1.7103 4.4762 0.0000
-3.2511 -2.2373 2.7178
Au Co Ir
1 1 2
direct
0.2500 0.7500 0.5000
0.7500 0.2500 0.5000
0.0000 0.0000 0.0000
0.5000 0.5000 0.0000
```

energy relative to the lowest polymorph listed for this composition	17.3	kJ per mole of atoms
symmetry	I4/mmm, No. 139
electronic total energy	-6.669	eV/atom
E_form	0.36	eV per atom
crystal system	tetragonal


(9)
VASP calculation (PBE) on a relaxed structure of LaMnTc2.

```
LaMnTc2
1.0
3.1954 0.0000 0.0000
0.0000 4.6454 0.0000
0.0000 0.0000 4.7885
La Mn Tc
1 1 2
direct
0.5000 0.0000 0.5000
0.0000 0.5000 0.5000
0.0000 0.0000 0.0000
0.5000 0.5000 0.0000
```

energy relative to the lowest polymorph listed for this composition	33.0	kJ per mole of atoms
symmetry	Pmmm, No. 47
electronic total energy	-8.150	eV/atom
E_form	0.56	eV per atom
crystal system	orthorhombic


(10)
VASP calculation (PBE) on a relaxed structure of Ta4FeRh.

```
Ta4FeRh
1.0
3.1802 0.0000 0.0000
-1.5901 6.0905 -3.0596
0.0000 -6.1018 8.1614
Ta Fe Rh
4 1 1
direct
0.3386 0.6771 0.0019
0.1789 0.3578 0.5213
0.6614 0.3229 0.9981
0.8211 0.6422 0.4787
0.0000 0.0000 0.0000
0.5000 0.0000 0.5000
```

energy relative to the lowest polymorph listed for this composition	4.8	kJ per mole of atoms
symmetry	C2/m, No. 12
electronic total energy	-10.714	eV/atom
E_form	-0.18	eV per atom
crystal system	monoclinic


(11)
VASP calculation (PBE) on a relaxed structure of CeAl.

```
CeAl
1.0
-0.9626 2.5767 5.3128
-3.5659 -4.8004 0.1776
3.9842 -2.8812 2.1193
Ce Al
4 4
direct
0.9869 0.3700 0.2500
0.0131 0.6300 0.7500
0.3700 0.9869 0.2500
0.6300 0.0131 0.7500
0.8278 0.8278 0.2500
0.1722 0.1722 0.7500
0.5000 0.5000 0.0000
0.5000 0.5000 0.5000
```

symmetry	Cmcm, No. 63
electronic total energy	-5.169	eV/atom
E_form	-0.33	eV per atom
crystal system	orthorhombic


(12)
VASP calculation (PBE) on a relaxed structure of Zn2Ag8Hg.

```
Zn2Ag8Hg
1.0
4.7384 0.9708 0.0000
1.5975 7.3911 0.0000
0.7988 3.6955 6.1014
Zn Ag Hg
2 8 1
direct
0.0000 0.3103 0.3794
0.0000 0.6897 0.6206
0.8792 0.0869 0.2386
0.8792 0.3256 0.7614
0.3126 0.4037 0.0000
0.5000 0.7713 0.4575
0.5000 0.2287 0.5425
0.6874 0.5963 0.0000
0.1208 0.6744 0.2386
0.1208 0.9131 0.7614
0.5000 0.0000 0.0000
```

energy relative to the lowest polymorph listed for this composition	6.7	kJ per mole of atoms
symmetry	C2/m, No. 12
electronic total energy	-2.256	eV/atom
E_form	0.08	eV per atom
crystal system	monoclinic


(13)
VASP calculation (PBE) on a relaxed structure of Nd5Te2Os2.

```
Nd5Te2Os2
1.0
-2.4684 6.9071 3.3414
-7.5382 -2.5869 -0.2212
-0.3396 0.2187 9.0184
Nd Te Os
10 4 4
direct
0.0000 0.0000 0.0000
0.5000 0.5000 0.0000
0.4428 0.1752 0.7591
0.7982 0.8248 0.7591
0.2982 0.6752 0.7591
0.9428 0.3248 0.7591
0.5572 0.8248 0.2409
0.2018 0.1752 0.2409
0.7018 0.3248 0.2409
0.0572 0.6752 0.2409
0.2094 0.0000 0.5813
0.7094 0.5000 0.5813
0.7906 0.0000 0.4187
0.2906 0.5000 0.4187
0.1111 0.3913 0.0000
0.8889 0.6087 0.0000
0.3889 0.8913 0.0000
0.6111 0.1087 0.0000
```

symmetry	Cmce, No. 64
electronic total energy	-6.507	eV/atom
energy relative to the elements, uncorrected	-664	meV/atom
crystal system	orthorhombic


(14)
VASP calculation (PBE) on a relaxed structure of Cd2H6IrRh.

```
Cd2H6IrRh
1.0
5.0807 0.0207 -0.2632
0.0204 5.0802 -0.2629
2.3616 2.3620 3.3420
Cd H Ir Rh
2 6 1 1
direct
0.7535 0.2467 0.4999
0.2466 0.7533 0.5001
0.2554 0.2554 0.4921
0.7420 0.7420 0.0097
0.2527 0.7475 0.9999
0.7473 0.2525 0.0001
0.2580 0.2580 0.9903
0.7446 0.7446 0.5079
0.5000 0.5000 0.0000
0.0000 0.0000 0.0000
```

symmetry	C2/m, No. 12
electronic total energy	-3.760	eV/atom
crystal system	monoclinic


(15)
VASP calculation (PBE) on a relaxed structure of MgSc3Zn8.

```
MgSc3Zn8
1.0
5.2479 0.0000 0.0000
2.6239 4.5448 0.0000
2.6239 1.5149 8.5202
Mg Sc Zn
1 3 8
direct
0.8742 0.8742 0.3773
0.3758 0.3758 0.8725
0.9992 0.9992 0.0025
0.5001 0.5001 0.4996
0.9371 0.4388 0.1852
0.4351 0.9380 0.6888
0.4388 0.4388 0.1852
0.9380 0.9380 0.6888
0.1871 0.1871 0.4387
0.6875 0.6875 0.9374
0.4388 0.9371 0.1852
0.9380 0.4351 0.6888
```

symmetry	R3m, No. 160
electronic total energy	-2.858	eV/atom
E_form	-0.29	eV per atom
crystal system	trigonal


(16)
VASP calculation (PBE) on a relaxed structure of DyGa3Au2.

```
DyGa3Au2
1.0
-2.7458 2.3768 5.1946
-3.6714 -4.9771 0.3366
4.5175 -3.1450 2.7705
Dy Ga Au
2 6 4
direct
0.6418 0.7500 0.6527
0.3582 0.2500 0.3473
0.5834 0.2500 0.8639
0.8648 0.2500 0.5758
0.4166 0.7500 0.1361
0.9952 0.2500 0.0003
0.0048 0.7500 0.9997
0.1352 0.7500 0.4242
0.2499 0.4953 0.7554
0.2499 0.0047 0.7554
0.7501 0.9953 0.2446
0.7501 0.5047 0.2446
```

energy relative to the lowest polymorph listed for this composition	9.2	kJ per mole of atoms
symmetry	P2_1/m, No. 11
electronic total energy	-3.784	eV/atom
E_form	-0.41	eV per atom
crystal system	monoclinic


(17)
VASP calculation (PBE) on a relaxed structure of NaSr5Rh2.

```
NaSr5Rh2
1.0
4.5347 0.0000 -0.9009
-0.6627 7.0916 -3.3358
-0.4876 0.0189 9.4088
Na Sr Rh
1 5 2
direct
0.0000 0.0000 0.0000
0.0000 0.5000 0.0000
0.6617 0.4138 0.3234
0.3383 0.5862 0.6766
0.6617 0.9096 0.3234
0.3383 0.0904 0.6766
0.1840 0.6840 0.3681
0.8160 0.3160 0.6319
```

symmetry	Immm, No. 71
electronic total energy	-3.195	eV/atom
E_form	-0.14	eV per atom
crystal system	orthorhombic


(18)
VASP calculation (PBE) on a relaxed structure of K3CaOs2O8.

```
K3CaOs2O8
1.0
6.0716 0.0000 0.0000
-3.0358 5.2581 0.0000
0.0000 0.0000 7.8112
K Ca Os O
3 1 2 8
direct
0.3333 0.6667 0.6519
0.6667 0.3333 0.3481
0.0000 0.0000 0.0000
0.0000 0.0000 0.5000
0.3333 0.6667 0.2116
0.6667 0.3333 0.7884
0.3333 0.6667 0.9836
0.6667 0.3333 0.0164
0.1756 0.8244 0.3184
0.8244 0.1756 0.6816
0.1756 0.3512 0.3184
0.8244 0.6488 0.6816
0.6488 0.8244 0.3184
0.3512 0.1756 0.6816
```

symmetry	P-3m1, No. 164
electronic total energy	-6.298	eV/atom
energy relative to the elements, uncorrected	-1483	meV/atom
crystal system	trigonal


(19)
VASP calculation (PBE) on a relaxed structure of CsLi2Tl3.

```
CsLi2Tl3
1.0
6.0593 0.0000 0.0000
0.0000 7.5313 -2.7054
0.0000 -0.0682 8.0022
Cs Li Tl
2 4 6
direct
0.2500 0.3521 0.3521
0.7500 0.6479 0.6479
0.5000 0.8177 0.1823
0.0000 0.8177 0.1823
0.0000 0.1823 0.8177
0.5000 0.1823 0.8177
0.7500 0.4849 0.0825
0.7500 0.0825 0.4849
0.2500 0.5151 0.9175
0.7500 0.0885 0.0885
0.2500 0.9115 0.9115
0.2500 0.9175 0.5151
```

symmetry	Cmcm, No. 63
electronic total energy	-2.099	eV/atom
E_form	-0.14	eV per atom
crystal system	orthorhombic


(20)
VASP calculation (PBE) on a relaxed structure of LiCa2Ru.

```
LiCa2Ru
1.0
-1.6063 4.8021 -3.3838
-4.1195 3.9259 2.1697
5.4125 -2.6562 0.8600
Ca Li Ru
2 1 1
direct
0.0430 0.0430 0.0000
0.7461 0.2461 0.5000
0.4453 0.4453 0.0000
0.2656 0.7656 0.5000
```

symmetry	Imm2, No. 44
electronic total energy	-3.574	eV/atom
E_form	0.22	eV per atom
crystal system	orthorhombic